[1]
Here is an optimized crystal structure of LaTbY2 from Alexandria. Energies are from PBE.

Cell: 5.765 5.765 5.765 Å, 60.00 60.00 60.00°
Fractional coordinates of all 4 atoms:
1 La 0.000 0.000 0.000
2 Tb 0.500 0.500 0.500
3 Y 0.250 0.250 0.250
4 Y 0.750 0.750 0.750

Results
V: 33.867 Å³/atom
Density of states at the Fermi level: 1.826 states/eV/atom
E above lowest polymorph: 97 meV per atom
SG: Fm-3m
Final energy: -22.1 eV/cell
Density: 5.83 g/cm3

[2]
Here is an optimized crystal structure of BaFeSi2 from Alexandria. Energies are from PBE.

Cell: 6.554 6.554 6.554 Å, 35.44 35.44 35.44°
Fractional coordinates of all 4 atoms:
1 Ba 0.000 0.000 0.000
2 Fe 0.821 0.821 0.821
3 Si 0.189 0.189 0.189
4 Si 0.465 0.465 0.465

Results
V: 21.150 Å³/atom
Density of states at the Fermi level: 0.951 states/eV/atom
SG: R3m
Final energy: -22.1 eV/cell
Density: 4.89 g/cm3
Raw formation energy: -215 meV per atom

[3]
Here is an optimized crystal structure of Sc2InRh from Alexandria. Energies are from PBE.

Cell: 3.346 3.346 7.053 Å, 90.00 90.00 90.00°
Fractional coordinates of all 4 atoms:
1 Sc 0.000 0.000 0.217
2 Sc 0.000 0.000 0.783
3 In 0.500 0.500 0.500
4 Rh 0.500 0.500 0.000

Results
V: 19.738 Å³/atom
Density of states at the Fermi level: 0.324 states/eV/atom
SG: P4/mmm
Final energy: -25.6 eV/cell
Density: 6.47 g/cm3

[4]
Here is an optimized crystal structure of PmTlZnAu from Alexandria. Energies are from PBE.

Cell: 5.043 5.043 5.043 Å, 60.00 60.00 60.00°
Fractional coordinates of all 4 atoms:
1 Pm 0.000 0.000 0.000
2 Tl 0.500 0.500 0.500
3 Zn 0.750 0.750 0.750
4 Au 0.250 0.250 0.250

Results
V: 22.665 Å³/atom
Density of states at the Fermi level: 0.440 states/eV/atom
SG: F-43m
Final energy: -13.3 eV/cell
Density: 11.20 g/cm3

[5]
Here is an optimized crystal structure of NbGeSb from Alexandria. Energies are from PBE.

Cell: 3.752 3.752 8.287 Å, 90.00 90.00 90.00°
Fractional coordinates of all 6 atoms:
1 Nb 0.250 0.250 0.246
2 Nb 0.750 0.750 0.754
3 Ge 0.250 0.750 0.000
4 Ge 0.750 0.250 0.000
5 Sb 0.250 0.250 0.613
6 Sb 0.750 0.750 0.387

Results
V: 19.439 Å³/atom
Density of states at the Fermi level: 0.274 states/eV/atom
SG: P4/nmm
Final energy: -39.7 eV/cell
Density: 8.18 g/cm3
Raw formation energy: -346 meV per atom

[6]
Here is an optimized crystal structure of TaAl2Tl from Alexandria. Energies are from PBE.

Cell: 5.074 5.074 2.969 Å, 90.00 90.00 90.00°
Fractional coordinates of all 4 atoms:
1 Ta 0.000 0.000 0.000
2 Al 0.000 0.500 0.500
3 Al 0.500 0.000 0.500
4 Tl 0.500 0.500 0.000

Results
V: 19.111 Å³/atom
Density of states at the Fermi level: 0.553 states/eV/atom
E above lowest polymorph: 130 meV per atom
SG: P4/mmm
Final energy: -20.7 eV/cell
Density: 9.54 g/cm3

> What is the formula in the fifth record?

NbGeSb

Please write out number 6 again, unchanged.
Here is an optimized crystal structure of TaAl2Tl from Alexandria. Energies are from PBE.

Cell: 5.074 5.074 2.969 Å, 90.00 90.00 90.00°
Fractional coordinates of all 4 atoms:
1 Ta 0.000 0.000 0.000
2 Al 0.000 0.500 0.500
3 Al 0.500 0.000 0.500
4 Tl 0.500 0.500 0.000

Results
V: 19.111 Å³/atom
Density of states at the Fermi level: 0.553 states/eV/atom
E above lowest polymorph: 130 meV per atom
SG: P4/mmm
Final energy: -20.7 eV/cell
Density: 9.54 g/cm3

What did the sixth record say?
Here is an optimized crystal structure of TaAl2Tl from Alexandria. Energies are from PBE.

Cell: 5.074 5.074 2.969 Å, 90.00 90.00 90.00°
Fractional coordinates of all 4 atoms:
1 Ta 0.000 0.000 0.000
2 Al 0.000 0.500 0.500
3 Al 0.500 0.000 0.500
4 Tl 0.500 0.500 0.000

Results
V: 19.111 Å³/atom
Density of states at the Fermi level: 0.553 states/eV/atom
E above lowest polymorph: 130 meV per atom
SG: P4/mmm
Final energy: -20.7 eV/cell
Density: 9.54 g/cm3